(1)
DFT (GGA-PBEsol) results for Er12Co7 after structural relaxation.

Cell lengths 8.0455, 8.9690, 10.8770 Å; angles 90.00, 90.00, 102.27 degrees
Fractional coordinates of all 38 atoms:
Er: 0.2244 0.4615 0.7051
Er: 0.2756 0.0385 0.2051
Er: 0.8372 0.3417 0.8400
Er: 0.6628 0.1583 0.3400
Er: 0.1628 0.6583 0.1600
Er: 0.3372 0.8417 0.6600
Er: 0.7991 0.6445 0.0036
Er: 0.7009 0.8555 0.5036
Er: 0.2009 0.3555 0.9964
Er: 0.2991 0.1445 0.4964
Er: 0.7244 0.9615 0.7949
Er: 0.7756 0.5385 0.2949
Er: 0.1433 0.9123 0.9304
Er: 0.3567 0.5877 0.4304
Er: 0.8567 0.0877 0.0696
Er: 0.6433 0.4123 0.5696
Er: 0.0778 0.3247 0.3012
Er: 0.4222 0.1753 0.8012
Er: 0.9222 0.6753 0.6988
Er: 0.5778 0.8247 0.1988
Er: 0.4278 0.6933 0.9295
Er: 0.0722 0.8067 0.4295
Er: 0.5722 0.3067 0.0705
Er: 0.9278 0.1933 0.5705
Co: 0.0000 0.5000 0.5000
Co: 0.5000 0.0000 0.0000
Co: 0.0625 0.9732 0.6767
Co: 0.4375 0.5268 0.1767
Co: 0.9375 0.0268 0.3233
Co: 0.5625 0.4732 0.8233
Co: 0.4076 0.9010 0.4013
Co: 0.0924 0.5990 0.9013
Co: 0.5924 0.0990 0.5987
Co: 0.9076 0.4010 0.0987
Co: 0.0549 0.1570 0.8170
Co: 0.4451 0.3430 0.3170
Co: 0.9451 0.8430 0.1830
Co: 0.5549 0.6570 0.6830

Total energy ... -234.86 eV per cell
Total moment ... 0.0 μB per formula unit
V ... 383.47 Å³/f.u.
Space group ... No. 14

---

(2)
DFT (GGA-PBEsol) results for ErCo5 after structural relaxation.

Cell lengths 3.8902, 4.7986, 4.7986 Å; angles 120.00, 90.00, 90.00 degrees
Site moments in Bohr magnetons follow the coordinates.
Fractional coordinates of all 6 atoms:
Co: 0.0000 0.6667 0.3333  -0.35
Co: 0.0000 0.3333 0.6667  1.45
Co: 0.5000 0.5000 0.5000  1.45
Co: 0.5000 0.5000 0.0000  1.47
Co: 0.5000 0.0000 0.5000  1.47
Er: 0.0000 0.0000 0.0000  1.47

Total energy ... -44.28 eV per cell
Total moment ... 6.9 μB per formula unit
V ... 77.58 Å³/f.u.
Space group ... No. 191

---

(3)
DFT (GGA-PBEsol) results for Er2Co7 after structural relaxation.

Cell lengths 4.8410, 4.8410, 12.1381 Å; angles 78.50, 78.50, 60.00 degrees
Site moments in Bohr magnetons follow the coordinates.
Fractional coordinates of all 18 atoms:
Er: 0.9484 0.9484 0.1549  -0.33
Er: 0.1482 0.1482 0.5554  -0.40
Er: 0.0516 0.0516 0.8451  -0.33
Er: 0.8518 0.8518 0.4446  -0.40
Co: 0.6113 0.6113 0.1660  1.42
Co: 0.3887 0.3887 0.8340  1.42
Co: 0.6099 0.6099 0.6717  1.20
Co: 0.8914 0.3901 0.3283  1.20
Co: 0.1086 0.6099 0.6717  1.20
Co: 0.6099 0.1086 0.6717  1.20
Co: 0.3901 0.8914 0.3283  1.20
Co: 0.5000 0.0000 0.0000  1.42
Co: 0.7215 0.7215 0.8354  1.41
Co: 0.5000 0.5000 0.5000  1.14
Co: 0.3901 0.3901 0.3283  1.20
Co: 0.5000 0.5000 0.0000  1.42
Co: 0.2785 0.2785 0.1646  1.41
Co: 0.0000 0.5000 0.0000  1.42

Total energy ... -131.19 eV per cell
Total moment ... 8.4 μB per formula unit
V ... 119.87 Å³/f.u.
Space group ... No. 166

---

(4)
DFT (GGA-PBEsol) results for ErGa5Co after structural relaxation.

Cell lengths 4.1325, 4.1325, 6.6809 Å; angles 90.00, 90.00, 90.00 degrees
Fractional coordinates of all 7 atoms:
Er: 0.0000 0.0000 0.0000
Ga: 0.0000 0.5000 0.3091
Ga: 0.0000 0.5000 0.6909
Ga: 0.5000 0.0000 0.3091
Ga: 0.5000 0.0000 0.6909
Ga: 0.5000 0.5000 0.0000
Co: 0.0000 0.0000 0.5000

Total energy ... -32.99 eV per cell
Total moment ... 0.0 μB per formula unit
V ... 114.09 Å³/f.u.
Space group ... No. 123

---

(5)
DFT (GGA-PBEsol) results for Er2Ga3Co after structural relaxation.

Cell lengths 5.3552, 5.3552, 8.2471 Å; angles 90.00, 90.00, 120.00 degrees
Fractional coordinates of all 12 atoms:
Co: 0.0000 0.0000 0.5000
Co: 0.0000 0.0000 0.0000
Ga: 0.8375 0.6751 0.2500
Ga: 0.1625 0.8375 0.7500
Ga: 0.6751 0.8375 0.7500
Ga: 0.3249 0.1625 0.2500
Ga: 0.8375 0.1625 0.2500
Ga: 0.1625 0.3249 0.7500
Er: 0.3333 0.6667 0.0530
Er: 0.6667 0.3333 0.5530
Er: 0.3333 0.6667 0.4470
Er: 0.6667 0.3333 0.9470

Total energy ... -62.34 eV per cell
Total moment ... 0.0 μB per formula unit
V ... 102.41 Å³/f.u.
Space group ... No. 194

---

(6)
DFT (GGA-PBEsol) results for Er2GaCo2 after structural relaxation.

Cell lengths 3.9719, 5.2178, 5.2178 Å; angles 61.03, 67.63, 67.63 degrees
Fractional coordinates of all 5 atoms:
Co: 0.5000 0.2818 0.7182
Co: 0.5000 0.7182 0.2818
Ga: 0.0000 0.0000 0.0000
Er: 0.7944 0.7056 0.7056
Er: 0.2056 0.2944 0.2944

Total energy ... -31.00 eV per cell
Total moment ... 0.0 μB per formula unit
V ... 84.88 Å³/f.u.
Space group ... No. 71

---

(7)
DFT (GGA-PBEsol) results for ErGa2Co3 after structural relaxation.

Cell lengths 3.7268, 5.1020, 5.1020 Å; angles 120.00, 90.00, 90.00 degrees
Site moments in Bohr magnetons follow the coordinates.
Fractional coordinates of all 6 atoms:
Co: 0.5000 0.5000 0.0000  0.33
Co: 0.5000 0.0000 0.5000  0.33
Co: 0.5000 0.5000 0.5000  0.33
Ga: 0.0000 0.3333 0.6667  -0.02
Ga: 0.0000 0.6667 0.3333  -0.02
Er: 0.0000 0.0000 0.0000  -0.10

Total energy ... -37.24 eV per cell
Total moment ... 0.8 μB per formula unit
V ... 84.01 Å³/f.u.
Space group ... No. 191

---

(8)
DFT (GGA-PBEsol) results for Er2Ga8Co after structural relaxation.

Cell lengths 4.1422, 4.1422, 10.8773 Å; angles 90.00, 90.00, 90.00 degrees
Fractional coordinates of all 11 atoms:
Er: 0.0000 0.0000 0.6936
Er: 0.0000 0.0000 0.3064
Ga: 0.5000 0.0000 0.5000
Ga: 0.0000 0.5000 0.5000
Ga: 0.5000 0.5000 0.6942
Ga: 0.5000 0.5000 0.3058
Ga: 0.5000 0.0000 0.8825
Ga: 0.0000 0.5000 0.8825
Ga: 0.5000 0.0000 0.1175
Ga: 0.0000 0.5000 0.1175
Co: 0.0000 0.0000 0.0000

Total energy ... -50.24 eV per cell
Total moment ... 0.0 μB per formula unit
V ... 186.63 Å³/f.u.
Space group ... No. 123

---

(9)
DFT (GGA-PBEsol) results for Er4Ga16Co3 after structural relaxation.

Cell lengths 5.9009, 5.9009, 10.8638 Å; angles 90.00, 90.00, 90.00 degrees
Fractional coordinates of all 23 atoms:
Er: 0.0000 0.5000 0.1944
Er: 0.0000 0.5000 0.8056
Er: 0.5000 0.0000 0.8056
Er: 0.5000 0.0000 0.1944
Ga: 0.0000 0.0000 0.2181
Ga: 0.0000 0.0000 0.7819
Ga: 0.5000 0.5000 0.1955
Ga: 0.5000 0.5000 0.8045
Ga: 0.2804 0.2804 0.0000
Ga: 0.7196 0.7196 0.0000
Ga: 0.2804 0.7196 0.0000
Ga: 0.7196 0.2804 0.0000
Ga: 0.2499 0.2499 0.3835
Ga: 0.7501 0.7501 0.3835
Ga: 0.2499 0.7501 0.6165
Ga: 0.7501 0.2499 0.6165
Ga: 0.7501 0.7501 0.6165
Ga: 0.2499 0.2499 0.6165
Ga: 0.2499 0.7501 0.3835
Ga: 0.7501 0.2499 0.3835
Co: 0.0000 0.5000 0.5000
Co: 0.5000 0.0000 0.5000
Co: 0.0000 0.0000 0.0000

Total energy ... -109.32 eV per cell
Total moment ... 0.0 μB per formula unit
V ... 378.29 Å³/f.u.
Space group ... No. 123

---

(10)
DFT (GGA-PBEsol) results for Er3GaCoS7 after structural relaxation.

Cell lengths 6.0441, 9.2904, 9.2904 Å; angles 120.00, 90.00, 90.00 degrees
Site moments in Bohr magnetons follow the coordinates.
Fractional coordinates of all 24 atoms:
Er: 0.3244 0.3739 0.1603  0.02
Er: 0.3244 0.8397 0.2135  0.02
Er: 0.3244 0.7865 0.6261  0.02
Er: 0.8244 0.6261 0.8397  0.02
Er: 0.8244 0.1603 0.7865  0.02
Er: 0.8244 0.2135 0.3739  0.02
Ga: 0.3979 0.3333 0.6667  0.00
Ga: 0.8979 0.6667 0.3333  0.00
Co: 0.9826 0.0000 0.0000  0.77
Co: 0.4826 0.0000 0.0000  0.77
S: 0.0545 0.5204 0.4400  0.00
S: 0.0545 0.5600 0.0804  0.00
S: 0.0545 0.9196 0.4796  0.00
S: 0.5545 0.4796 0.5600  0.00
S: 0.5545 0.4400 0.9196  0.00
S: 0.5545 0.0804 0.5204  0.00
S: 0.0294 0.3333 0.6667  0.00
S: 0.5294 0.6667 0.3333  0.00
S: 0.2299 0.0992 0.8740  0.03
S: 0.2299 0.1260 0.2252  0.03
S: 0.2299 0.7748 0.9008  0.03
S: 0.7299 0.9008 0.1260  0.03
S: 0.7299 0.8740 0.7748  0.03
S: 0.7299 0.2252 0.0992  0.03

Formation energy from raw total energies ... -1515.5 meV/atom
Total moment ... 1.0 μB per formula unit
V ... 225.89 Å³/f.u.
Space group ... No. 173

---

(11)
DFT (GGA-PBEsol) results for GdErCo4 after structural relaxation.

Cell lengths 4.9636, 4.9636, 4.9636 Å; angles 60.00, 60.00, 60.00 degrees
Site moments in Bohr magnetons follow the coordinates.
Fractional coordinates of all 6 atoms:
Gd: 0.5000 0.5000 0.5000  7.14
Er: 0.7500 0.7500 0.7500  0.34
Co: 0.1248 0.1248 0.1248  -1.01
Co: 0.1248 0.1248 0.6257  -1.01
Co: 0.6257 0.1248 0.1248  -1.01
Co: 0.1248 0.6257 0.1248  -1.01

Total energy ... -51.66 eV per cell
Total moment ... 3.6 μB per formula unit
V ... 86.47 Å³/f.u.
Space group ... No. 216

---

(12)
DFT (GGA-PBEsol) results for Er3Co4Ge13 after structural relaxation.

Cell lengths 8.6249, 8.6249, 8.6249 Å; angles 90.00, 90.00, 90.00 degrees
Fractional coordinates of all 40 atoms:
Er: 0.0000 0.5000 0.7500
Er: 0.5000 0.2500 0.0000
Er: 0.7500 0.0000 0.5000
Er: 0.0000 0.5000 0.2500
Er: 0.5000 0.7500 0.0000
Er: 0.2500 0.0000 0.5000
Co: 0.7500 0.2500 0.7500
Co: 0.2500 0.7500 0.2500
Co: 0.7500 0.7500 0.2500
Co: 0.2500 0.2500 0.7500
Co: 0.2500 0.7500 0.7500
Co: 0.7500 0.2500 0.2500
Co: 0.2500 0.2500 0.2500
Co: 0.7500 0.7500 0.7500
Ge: 0.5000 0.5000 0.5000
Ge: 0.0000 0.0000 0.0000
Ge: 0.8042 0.3469 0.5000
Ge: 0.6531 0.5000 0.8042
Ge: 0.5000 0.1958 0.6531
Ge: 0.1958 0.6531 0.5000
Ge: 0.3469 0.5000 0.1958
Ge: 0.5000 0.8042 0.3469
Ge: 0.8042 0.6531 0.5000
Ge: 0.6531 0.5000 0.1958
Ge: 0.1958 0.3469 0.5000
Ge: 0.3469 0.5000 0.8042
Ge: 0.5000 0.8042 0.6531
Ge: 0.5000 0.1958 0.3469
Ge: 0.3042 0.0000 0.8469
Ge: 0.1531 0.3042 0.0000
Ge: 0.0000 0.1531 0.6958
Ge: 0.6958 0.0000 0.1531
Ge: 0.8469 0.6958 0.0000
Ge: 0.0000 0.8469 0.3042
Ge: 0.3042 0.0000 0.1531
Ge: 0.1531 0.6958 0.0000
Ge: 0.6958 0.0000 0.8469
Ge: 0.8469 0.3042 0.0000
Ge: 0.0000 0.1531 0.3042
Ge: 0.0000 0.8469 0.6958

Total energy ... -239.50 eV per cell
Total moment ... 0.0 μB per formula unit
V ... 320.79 Å³/f.u.
Space group ... No. 223

---

V of number 11 (GdErCo4)?
86.47 Å³/f.u.

---

Please write out number 8 again, unchanged.
DFT (GGA-PBEsol) results for Er2Ga8Co after structural relaxation.

Cell lengths 4.1422, 4.1422, 10.8773 Å; angles 90.00, 90.00, 90.00 degrees
Fractional coordinates of all 11 atoms:
Er: 0.0000 0.0000 0.6936
Er: 0.0000 0.0000 0.3064
Ga: 0.5000 0.0000 0.5000
Ga: 0.0000 0.5000 0.5000
Ga: 0.5000 0.5000 0.6942
Ga: 0.5000 0.5000 0.3058
Ga: 0.5000 0.0000 0.8825
Ga: 0.0000 0.5000 0.8825
Ga: 0.5000 0.0000 0.1175
Ga: 0.0000 0.5000 0.1175
Co: 0.0000 0.0000 0.0000

Total energy ... -50.24 eV per cell
Total moment ... 0.0 μB per formula unit
V ... 186.63 Å³/f.u.
Space group ... No. 123

---

The highest V belongs to which entry?
Er12Co7